# 1
Ca4Mn3AlO11: optimized geometry, PBE with a Hubbard U.

CIF file:
```
data_Ca4Mn3AlO11
_chemical_formula_sum 'Ca4 Mn3 Al1 O11'
_symmetry_space_group_name_H-M 'P 4/m m m'
_symmetry_Int_Tables_number 123
_symmetry_space_group_name_Hall '-P 4 2'
_cell_length_a 7.6433
_cell_length_b 7.6433
_cell_length_c 3.7807
_cell_angle_alpha 90.00
_cell_angle_beta 90.00
_cell_angle_gamma 90.00
loop_
_atom_site_label
_atom_site_type_symbol
_atom_site_fract_x
_atom_site_fract_y
_atom_site_fract_z
_atom_site_occupancy
Ca1 Ca 0.2334 0.2334 0.0000 1
Mn1 Mn 0.0000 0.0000 0.5000 1
Mn2 Mn 0.0000 0.5000 0.5000 1
Al1 Al 0.5000 0.5000 0.5000 1
O1 O 0.0000 0.0000 0.0000 1
O2 O 0.0000 0.2497 0.5000 1
O3 O 0.0000 0.5000 0.0000 1
O4 O 0.2619 0.5000 0.5000 1
```

Output
Magnetization in μB/cell: 10.03
Final energy in eV/f.u.: -130.36
Calculated density in g/cm³: 3.97



# 2
CaMnAl2O: optimized geometry, PBE with a Hubbard U.

CIF file:
```
data_CaMnAl2O
_chemical_formula_sum 'Ca1 Mn1 Al2 O1'
_symmetry_space_group_name_H-M 'P 4/m m m'
_symmetry_Int_Tables_number 123
_symmetry_space_group_name_Hall '-P 4 2'
_cell_length_a 4.3512
_cell_length_b 4.3512
_cell_length_c 4.5965
_cell_angle_alpha 90.00
_cell_angle_beta 90.00
_cell_angle_gamma 90.00
loop_
_atom_site_label
_atom_site_type_symbol
_atom_site_fract_x
_atom_site_fract_y
_atom_site_fract_z
_atom_site_occupancy
Ca1 Ca 0.0000 0.0000 0.0000 1
Mn1 Mn 0.5000 0.5000 0.0000 1
Al1 Al 0.0000 0.5000 0.5000 1
O1 O 0.0000 0.0000 0.5000 1
```

Output
Magnetization in μB/cell: 4.22
Final energy in eV/f.u.: -24.70
Calculated density in g/cm³: 3.15



# 3
Ca4Mn3AlO10: optimized geometry, PBE with a Hubbard U.

CIF file:
```
data_Ca4Mn3AlO10
_chemical_formula_sum 'Ca8 Mn6 Al2 O20'
_symmetry_space_group_name_H-M 'P 1 m 1'
_symmetry_Int_Tables_number 6
_cell_length_a 7.6128
_cell_length_b 7.5885
_cell_length_c 7.9390
_cell_angle_alpha 90.00
_cell_angle_beta 92.76
_cell_angle_gamma 90.00
loop_
_symmetry_equiv_pos_as_xyz
'x,y,z'
'x,-y,z'
loop_
_atom_site_label
_atom_site_type_symbol
_atom_site_fract_x
_atom_site_fract_y
_atom_site_fract_z
_atom_site_occupancy
Ca1 Ca 0.0000 0.2326 0.0000 1
Ca2 Ca 0.4553 0.2358 0.0368 1
Ca3 Ca 0.4688 0.2336 0.4836 1
Ca4 Ca 0.9392 0.2448 0.5530 1
Mn1 Mn 0.2062 0.0000 0.2588 1
Mn2 Mn 0.2148 0.0000 0.7612 1
Mn3 Mn 0.2467 0.5000 0.7504 1
Mn4 Mn 0.7059 0.0000 0.7570 1
Mn5 Mn 0.7099 0.0000 0.2539 1
Mn6 Mn 0.7159 0.5000 0.8085 1
Al1 Al 0.1849 0.5000 0.3148 1
Al2 Al 0.7717 0.5000 0.2449 1
O1 O 0.2113 0.0000 0.5157 1
O2 O 0.2219 0.2990 0.2101 1
O3 O 0.2334 0.2511 0.7767 1
O4 O 0.2418 0.0000 0.0033 1
O5 O 0.3242 0.5000 0.5035 1
O6 O 0.4572 0.0000 0.2814 1
O7 O 0.4794 0.5000 0.8933 1
O8 O 0.6548 0.0000 0.9919 1
O9 O 0.6636 0.2988 0.2803 1
O10 O 0.6813 0.2556 0.7250 1
O11 O 0.7306 0.0000 0.5110 1
O12 O 0.8517 0.5000 0.0407 1
O13 O 0.9563 0.0000 0.2107 1
O14 O 0.9607 0.0000 0.7846 1
O15 O 0.9645 0.5000 0.7318 1
O16 O 0.9651 0.5000 0.3829 1
```

Output
Magnetization in μB/cell: 24.00
Final energy in eV/f.u.: -126.55
Calculated density in g/cm³: 3.71



# 4
CaMnAl2O: optimized geometry, PBE with a Hubbard U.

CIF file:
```
data_CaMnAl2O
_chemical_formula_sum 'Ca1 Mn1 Al2 O1'
_symmetry_space_group_name_H-M 'P 4/m m m'
_symmetry_Int_Tables_number 123
_symmetry_space_group_name_Hall '-P 4 2'
_cell_length_a 4.6181
_cell_length_b 4.6181
_cell_length_c 6.0645
_cell_angle_alpha 90.00
_cell_angle_beta 90.00
_cell_angle_gamma 90.00
loop_
_atom_site_label
_atom_site_type_symbol
_atom_site_fract_x
_atom_site_fract_y
_atom_site_fract_z
_atom_site_occupancy
Ca1 Ca 0.0000 0.0000 0.0000 1
Mn1 Mn 0.0000 0.0000 0.5000 1
Al1 Al 0.0000 0.5000 0.5000 1
O1 O 0.5000 0.5000 0.0000 1
```

Output
Magnetization in μB/cell: 4.53
Final energy in eV/f.u.: -18.92
Calculated density in g/cm³: 2.12



# 5
Ca2MnAlO5: optimized geometry, PBE with a Hubbard U.

CIF file:
```
data_Ca2MnAlO5
_chemical_formula_sum 'Ca8 Mn4 Al4 O20'
_symmetry_space_group_name_H-M 'C m c 21'
_symmetry_Int_Tables_number 36
_cell_length_a 3.1771
_cell_length_b 12.4446
_cell_length_c 10.4181
_cell_angle_alpha 90.00
_cell_angle_beta 90.00
_cell_angle_gamma 90.00
loop_
_symmetry_equiv_pos_as_xyz
'x,y,z'
'-x,-y,z+1/2'
'-x,y,z'
'x,-y,z+1/2'
'x+1/2,y+1/2,z'
'-x+1/2,-y+1/2,z+1/2'
'-x+1/2,y+1/2,z'
'x+1/2,-y+1/2,z+1/2'
loop_
_atom_site_label
_atom_site_type_symbol
_atom_site_fract_x
_atom_site_fract_y
_atom_site_fract_z
_atom_site_occupancy
Ca1 Ca 0.0000 0.0947 0.0000 1
Ca2 Ca 0.0000 0.1506 0.6239 1
Mn1 Mn 0.0000 0.2192 0.3507 1
Al1 Al 0.0000 0.4672 0.7755 1
O1 O 0.0000 0.0581 0.3573 1
O2 O 0.0000 0.2747 0.9766 1
O3 O 0.0000 0.3127 0.7320 1
O4 O 0.0000 0.3786 0.3294 1
O5 O 0.0000 0.4933 0.1118 1
```

Output
Magnetization in μB/cell: 8.00
Final energy in eV/f.u.: -62.17
Calculated density in g/cm³: 3.90



# 6
Ca3Mn3AlO8: optimized geometry, PBE with a Hubbard U.

CIF file:
```
data_Ca3Mn3AlO8
_chemical_formula_sum 'Ca6 Mn6 Al2 O16'
_symmetry_space_group_name_H-M 'C 1 2/m 1'
_symmetry_Int_Tables_number 12
_cell_length_a 11.3883
_cell_length_b 6.1391
_cell_length_c 6.4776
_cell_angle_alpha 90.00
_cell_angle_beta 123.86
_cell_angle_gamma 90.00
loop_
_symmetry_equiv_pos_as_xyz
'x,y,z'
'-x,-y,-z'
'-x,y,-z'
'x,-y,z'
'x+1/2,y+1/2,z'
'-x+1/2,-y+1/2,-z'
'-x+1/2,y+1/2,-z'
'x+1/2,-y+1/2,z'
loop_
_atom_site_label
_atom_site_type_symbol
_atom_site_fract_x
_atom_site_fract_y
_atom_site_fract_z
_atom_site_occupancy
Ca1 Ca 0.0000 0.0000 0.0000 1
Ca2 Ca 0.2500 0.2500 0.0000 1
Mn1 Mn 0.0000 0.5000 0.5000 1
Mn2 Mn 0.2500 0.2500 0.5000 1
Al1 Al 0.0000 0.0000 0.5000 1
O1 O 0.0006 0.2444 0.2964 1
O2 O 0.2063 0.0000 0.6940 1
O3 O 0.2440 0.0000 0.2556 1
```

Output
Magnetization in μB/cell: 28.00
Final energy in eV/f.u.: -106.75
Calculated density in g/cm³: 3.89



# 7
Ca2MnAlO5: optimized geometry, PBE with a Hubbard U.

CIF file:
```
data_Ca2MnAlO5
_chemical_formula_sum 'Ca8 Mn4 Al4 O20'
_symmetry_space_group_name_H-M 'I m a 2'
_symmetry_Int_Tables_number 46
_cell_length_a 14.8687
_cell_length_b 5.6105
_cell_length_c 5.3441
_cell_angle_alpha 90.00
_cell_angle_beta 90.00
_cell_angle_gamma 90.00
loop_
_symmetry_equiv_pos_as_xyz
'x,y,z'
'-x,-y,z'
'-x+1/2,y,z'
'x+1/2,-y,z'
'x+1/2,y+1/2,z+1/2'
'-x+1/2,-y+1/2,z+1/2'
'-x,y+1/2,z+1/2'
'x,-y+1/2,z+1/2'
loop_
_atom_site_label
_atom_site_type_symbol
_atom_site_fract_x
_atom_site_fract_y
_atom_site_fract_z
_atom_site_occupancy
Ca1 Ca 0.1119 0.0299 0.0000 1
Mn1 Mn 0.0000 0.0000 0.4887 1
Al1 Al 0.2500 0.5728 0.0265 1
O1 O 0.0147 0.7462 0.2405 1
O2 O 0.1487 0.0732 0.4553 1
O3 O 0.2500 0.6452 0.3593 1
```

Output
Magnetization in μB/cell: 16.00
Final energy in eV/f.u.: -63.76
Calculated density in g/cm³: 3.61



# 8
Ca2MnAl2Si3O13: optimized geometry, PBE with a Hubbard U.

CIF file:
```
data_Ca2MnAl2Si3O13
_chemical_formula_sum 'Ca4 Mn2 Al4 Si6 O26'
_symmetry_space_group_name_H-M 'P 1 21/m 1'
_symmetry_Int_Tables_number 11
_cell_length_a 8.9027
_cell_length_b 5.8320
_cell_length_c 10.2567
_cell_angle_alpha 90.00
_cell_angle_beta 111.55
_cell_angle_gamma 90.00
loop_
_symmetry_equiv_pos_as_xyz
'x,y,z'
'-x,-y,-z'
'-x,y+1/2,-z'
'x,-y+1/2,z'
loop_
_atom_site_label
_atom_site_type_symbol
_atom_site_fract_x
_atom_site_fract_y
_atom_site_fract_z
_atom_site_occupancy
Ca1 Ca 0.0949 0.2500 0.3388 1
Ca2 Ca 0.2843 0.7500 0.9037 1
Mn1 Mn 0.5000 0.0000 0.5000 1
Al1 Al 0.0000 0.0000 0.0000 1
Al2 Al 0.4771 0.2500 0.7804 1
Si1 Si 0.0999 0.2500 0.7673 1
Si2 Si 0.1922 0.7500 0.5191 1
Si3 Si 0.3670 0.2500 0.1731 1
O1 O 0.0025 0.7500 0.4041 1
O2 O 0.0541 0.0199 0.8361 1
O3 O 0.1339 0.7500 0.0501 1
O4 O 0.1695 0.2500 0.1065 1
O5 O 0.1757 0.7500 0.6688 1
O6 O 0.2784 0.5199 0.4847 1
O7 O 0.2898 0.2500 0.7944 1
O8 O 0.4295 0.2500 0.3510 1
O9 O 0.4437 0.0168 0.1301 1
O10 O 0.4706 0.7500 0.3709 1
```

Output
Magnetization in μB/cell: 7.18
Final energy in eV/f.u.: -156.36
Calculated density in g/cm³: 3.23



Number 1: density of states at the Fermi level 1.99 states/eV/f.u.. Number 2: density of states at the Fermi level 2.13 states/eV/f.u.. Number 3: density of states at the Fermi level 1.38 states/eV/f.u.. Number 4: density of states at the Fermi level 3.53 states/eV/f.u.. Number 5: density of states at the Fermi level 0.00 states/eV/f.u.. Number 6: density of states at the Fermi level 2.42 states/eV/f.u.. Number 7: density of states at the Fermi level 0.58 states/eV/f.u.. Number 8: density of states at the Fermi level 5.14 states/eV/f.u..